[1]
Density functional theory data (PBE-GGA) for a relaxed Pm2CrBi crystal.

a b c (Å): 4.1826 5.1972 5.1972
angles (deg): 90.00 90.00 90.00
Closest atoms and distances in Å follow each position.
Sites, in units of the cell vectors:
Cr 0.5000 0.5000 0.5000  8 Pm 3.34, 4 Bi 3.68
Bi 0.5000 0.0000 0.0000  8 Pm 3.34, 4 Cr 3.68
Pm 0.0000 0.0000 0.5000  4 Cr 3.34, 4 Bi 3.34, 4 Pm 3.68
Pm 0.0000 0.5000 0.0000  4 Cr 3.34, 4 Bi 3.34, 4 Pm 3.68

Summary:
* total DFT energy (no corrections): -5.858 eV/atom
* N(E_F): 0.713 states/eV per atom
* E_form: -0.11 eV/atom

[2]
Density functional theory data (PBE-GGA) for a relaxed PmCrBi crystal.

a b c (Å): 4.1819 6.5102 7.2752
angles (deg): 71.89 125.19 108.73
Closest atoms and distances in Å follow each position.
Sites, in units of the cell vectors:
Cr 0.8140 0.4485 0.5904  2 Cr 2.38-2.40
Cr 0.1860 0.5515 0.4096  2 Cr 2.38-2.40
Bi 0.6856 0.8243 0.2733  3 Cr 2.72-2.74
Bi 0.3144 0.1757 0.7267  3 Cr 2.72-2.74
Pm 0.6786 0.7438 0.8067  1 Cr 2.81
Pm 0.3214 0.2562 0.1933  1 Cr 2.81

Summary:
* total DFT energy (no corrections): -6.101 eV/atom
* N(E_F): 0.835 states/eV per atom
* E_form: -0.02 eV/atom

[3]
Density functional theory data (PBE-GGA) for a relaxed Cr2BiPt crystal.

a b c (Å): 5.6453 5.6453 7.1595
angles (deg): 66.78 66.78 90.00
Closest atoms and distances in Å follow each position.
Sites, in units of the cell vectors:
Cr 0.5734 0.1250 0.2500  2 Pt 2.34
Cr 0.1766 0.6250 0.2500  2 Pt 2.34
Cr 0.3750 0.4266 0.7500  2 Pt 2.34
Cr 0.8750 0.8234 0.7500  2 Pt 2.34
Bi 0.0000 0.0000 0.0000  4 Cr 2.66
Bi 0.7500 0.2500 0.5000  4 Cr 2.66
Pt 0.5000 0.5000 0.0000  4 Cr 2.34
Pt 0.2500 0.7500 0.5000  4 Cr 2.34

Summary:
* total DFT energy (no corrections): -6.156 eV/atom
* N(E_F): 2.753 states/eV per atom
* E_form: 1.14 eV/atom

[4]
Density functional theory data (PBE-GGA) for a relaxed Cr3BiPt crystal.

a b c (Å): 5.1389 5.1389 5.1389
angles (deg): 90.00 90.00 90.00
Closest atoms and distances in Å follow each position.
Sites, in units of the cell vectors:
Cr 0.0000 0.5000 0.0000  2 Bi 2.57
Cr 0.0000 0.0000 0.5000  2 Bi 2.57
Cr 0.5000 0.0000 0.0000  2 Bi 2.57
Bi 0.0000 0.0000 0.0000  6 Cr 2.57
Pt 0.5000 0.5000 0.5000  12 Cr 3.63

Summary:
* energy above the most stable polymorph in this dataset: 3.686 eV/f.u.
* total DFT energy (no corrections): -6.141 eV/atom
* N(E_F): 0.568 states/eV per atom
* E_form: 1.62 eV/atom

[5]
Density functional theory data (PBE-GGA) for a relaxed CrBiPt2 crystal.

a b c (Å): 4.0787 4.0787 9.7397
angles (deg): 77.91 77.91 90.00
Closest atoms and distances in Å follow each position.
Sites, in units of the cell vectors:
Cr 0.5000 0.5000 0.0000  4 Pt 2.71, 4 Bi 2.88
Cr 0.2500 0.7500 0.5000  4 Pt 2.71, 4 Bi 2.88
Bi 0.0000 0.0000 0.0000  4 Pt 2.77, 4 Cr 2.88
Bi 0.7500 0.2500 0.5000  4 Pt 2.77, 4 Cr 2.88
Pt 0.6057 0.1250 0.2500  2 Cr 2.71, 2 Bi 2.77, 4 Pt 2.78-3.00
Pt 0.1443 0.6250 0.2500  2 Cr 2.71, 2 Bi 2.77, 4 Pt 2.78-3.00
Pt 0.3750 0.3943 0.7500  2 Cr 2.71, 2 Bi 2.77, 4 Pt 2.78-3.00
Pt 0.8750 0.8557 0.7500  2 Cr 2.71, 2 Bi 2.77, 4 Pt 2.78-3.00

Summary:
* total DFT energy (no corrections): -6.173 eV/atom
* N(E_F): 0.713 states/eV per atom
* E_form: 0.22 eV/atom

[6]
Density functional theory data (PBE-GGA) for a relaxed CrBi2Pt2 crystal.

a b c (Å): 7.2307 7.2307 4.1219
angles (deg): 90.00 90.00 90.00
Closest atoms and distances in Å follow each position.
Sites, in units of the cell vectors:
Cr 0.0000 0.0000 0.0000  4 Pt 2.80
Cr 0.5000 0.5000 0.0000  4 Pt 2.80
Bi 0.1713 0.6713 0.5000  6 Pt 2.84-3.05
Bi 0.6713 0.8287 0.5000  6 Pt 2.84-3.05
Bi 0.8287 0.3287 0.5000  6 Pt 2.84-3.05
Bi 0.3287 0.1713 0.5000  6 Pt 2.84-3.05
Pt 0.3623 0.8623 0.0000  2 Cr 2.80, 1 Pt 2.82, 6 Bi 2.84-3.05
Pt 0.8623 0.6377 0.0000  2 Cr 2.80, 1 Pt 2.82, 6 Bi 2.84-3.05
Pt 0.6377 0.1377 0.0000  2 Cr 2.80, 1 Pt 2.82, 6 Bi 2.84-3.05
Pt 0.1377 0.3623 0.0000  2 Cr 2.80, 1 Pt 2.82, 6 Bi 2.84-3.05

Summary:
* total DFT energy (no corrections): -5.854 eV/atom
* N(E_F): 0.862 states/eV per atom
* E_form: 0.04 eV/atom

[7]
Density functional theory data (PBE-GGA) for a relaxed Cr3BiPt crystal.

a b c (Å): 4.9179 4.9179 4.9179
angles (deg): 90.00 90.00 90.00
Closest atoms and distances in Å follow each position.
Sites, in units of the cell vectors:
Cr 0.0000 0.5000 0.0000  2 Pt 2.46
Cr 0.0000 0.0000 0.5000  2 Pt 2.46
Cr 0.5000 0.0000 0.0000  2 Pt 2.46
Bi 0.5000 0.5000 0.5000  12 Cr 3.48
Pt 0.0000 0.0000 0.0000  6 Cr 2.46

Summary:
* energy above the most stable polymorph in this dataset: 0.000 eV/f.u.
* total DFT energy (no corrections): -6.878 eV/atom
* N(E_F): 1.393 states/eV per atom
* E_form: 0.88 eV/atom

[8]
Density functional theory data (PBE-GGA) for a relaxed Cr2BiTePt crystal.

a b c (Å): 5.1595 5.1595 5.8573
angles (deg): 90.00 90.00 90.00
Closest atoms and distances in Å follow each position.
Sites, in units of the cell vectors:
Cr 0.0000 0.5000 0.0000  2 Bi 2.58
Cr 0.5000 0.0000 0.0000  2 Bi 2.58
Te 0.0000 0.0000 0.5000  2 Bi 2.93
Bi 0.0000 0.0000 0.0000  4 Cr 2.58
Pt 0.5000 0.5000 0.5000  4 Te 3.65, 8 Cr 3.90

Summary:
* total DFT energy (no corrections): -4.943 eV/atom
* raw formation energy: 1.519 eV per atom
* N(E_F): 0.598 states/eV per atom

[9]
Density functional theory data (PBE-GGA) for a relaxed TlCrBiPt2 crystal.

a b c (Å): 5.1457 5.0500 5.1457
angles (deg): 90.00 90.00 90.00
Closest atoms and distances in Å follow each position.
Sites, in units of the cell vectors:
Cr 0.0000 0.5000 0.0000  2 Bi 2.53
Tl 0.5000 0.5000 0.5000  8 Pt 3.60, 4 Cr 3.64
Bi 0.0000 0.0000 0.0000  2 Cr 2.53, 4 Pt 2.57
Pt 0.0000 0.0000 0.5000  2 Bi 2.57
Pt 0.5000 0.0000 0.0000  2 Bi 2.57

Summary:
* total DFT energy (no corrections): -4.357 eV/atom
* N(E_F): 1.028 states/eV per atom
* E_form: 1.23 eV/atom

[10]
Density functional theory data (PBE-GGA) for a relaxed Rb3CrBi crystal.

a b c (Å): 7.1771 7.1771 7.1771
angles (deg): 90.00 90.00 90.00
Closest atoms and distances in Å follow each position.
Sites, in units of the cell vectors:
Cr 0.5000 0.5000 0.5000  12 Rb 5.07
Bi 0.0000 0.0000 0.0000  6 Rb 3.59
Rb 0.0000 0.5000 0.0000  2 Bi 3.59
Rb 0.0000 0.0000 0.5000  2 Bi 3.59
Rb 0.5000 0.0000 0.0000  2 Bi 3.59

Summary:
* energy above the most stable polymorph in this dataset: 0.000 eV/f.u.
* total DFT energy (no corrections): -2.730 eV/atom
* N(E_F): 1.656 states/eV per atom
* E_form: 0.55 eV/atom

[11]
Density functional theory data (PBE-GGA) for a relaxed RbCr2Bi crystal.

a b c (Å): 5.9088 5.9088 10.3209
angles (deg): 73.37 73.37 90.00
Closest atoms and distances in Å follow each position.
Sites, in units of the cell vectors:
Cr 0.8750 0.1250 0.2500  2 Bi 2.78, 2 Cr 2.95
Cr 0.8750 0.6250 0.2500  2 Bi 2.78, 2 Cr 2.95
Cr 0.3750 0.1250 0.7500  2 Bi 2.78, 2 Cr 2.95
Cr 0.8750 0.1250 0.7500  2 Bi 2.78, 2 Cr 2.95
Bi 0.0000 0.0000 0.0000  4 Cr 2.78
Bi 0.7500 0.2500 0.5000  4 Cr 2.78
Rb 0.5000 0.5000 0.0000  8 Cr 4.06, 4 Bi 4.18
Rb 0.2500 0.7500 0.5000  8 Cr 4.06, 4 Bi 4.18

Summary:
* total DFT energy (no corrections): -5.227 eV/atom
* N(E_F): 0.423 states/eV per atom
* E_form: 0.80 eV/atom

[12]
Density functional theory data (PBE-GGA) for a relaxed Rb2CrBi2 crystal.

a b c (Å): 7.6421 7.6421 6.2357
angles (deg): 90.00 90.00 90.00
Closest atoms and distances in Å follow each position.
Sites, in units of the cell vectors:
Cr 0.0000 0.0000 0.0000  4 Bi 2.93
Cr 0.5000 0.5000 0.0000  4 Bi 2.93
Bi 0.3537 0.8537 0.0000  2 Cr 2.93, 1 Bi 3.16
Bi 0.8537 0.6463 0.0000  2 Cr 2.93, 1 Bi 3.16
Bi 0.6463 0.1463 0.0000  2 Cr 2.93, 1 Bi 3.16
Bi 0.1463 0.3537 0.0000  2 Cr 2.93, 1 Bi 3.16
Rb 0.1673 0.6673 0.5000  5 Rb 3.62-4.02, 6 Bi 3.71-3.94
Rb 0.6673 0.8327 0.5000  5 Rb 3.62-4.02, 6 Bi 3.71-3.94
Rb 0.8327 0.3327 0.5000  5 Rb 3.62-4.02, 6 Bi 3.71-3.94
Rb 0.3327 0.1673 0.5000  5 Rb 3.62-4.02, 6 Bi 3.71-3.94

Summary:
* total DFT energy (no corrections): -3.832 eV/atom
* N(E_F): 0.305 states/eV per atom
* E_form: 0.03 eV/atom